Record 1
# ZnAsOs2

A relaxed ZnAsOs2 crystal (PBE-GGA, Alexandria via LeMat-Bulk).

The value obtained for the energy above the most stable polymorph in this dataset is 468 meV/atom. The total DFT energy (no corrections) comes out at -102.5 eV/cell. The calculation puts the density at 13.20 Mg/m³. Its formation enthalpy at 0 K is 0.691 eV per atom.

The space group is I-42d (No. 122) and the conventional cell measures 3.8678, 3.8678 and 17.5173 Å, with angles of 90.00, 90.00 and 90.00 degrees. The asymmetric unit holds Zn at (0.0000, 0.0000, 0.0000), As at (0.0000, 0.0000, 0.5000) and Os at (0.2109, 0.2500, 0.1250).


Record 2
# ZnAsOs

A relaxed ZnAsOs crystal (PBE-GGA, Alexandria via LeMat-Bulk).

The value obtained for the energy above the most stable polymorph in this dataset is 264 meV/atom. The total DFT energy (no corrections) comes out at -63.6 eV/cell. The calculation puts the density at 10.84 Mg/m³. Its formation enthalpy at 0 K is 0.418 eV per atom.

The space group is Fmm2 (No. 42) and the conventional cell measures 2.8905, 4.8804 and 14.3612 Å, with angles of 90.00, 90.00 and 90.00 degrees. The asymmetric unit holds Zn at (0.0000, 0.0000, 0.0000), As at (0.0000, 0.0000, 0.7047) and Os at (0.0000, 0.0000, 0.3468).


Record 3
# ZnAsOs3

A relaxed ZnAsOs3 crystal (PBE-GGA, Alexandria via LeMat-Bulk).

The value obtained for the energy above the most stable polymorph in this dataset is 0 meV/atom. The total DFT energy (no corrections) comes out at -31.6 eV/cell. The calculation puts the density at 12.78 Mg/m³. Its formation enthalpy at 0 K is 1.599 eV per atom.

The space group is Pm-3m (No. 221) and the conventional cell measures 4.5202, 4.5202 and 4.5202 Å, with angles of 90.00, 90.00 and 90.00 degrees. The asymmetric unit holds Zn at (0.0000, 0.0000, 0.0000), As at (0.5000, 0.5000, 0.5000) and Os at (0.0000, 0.5000, 0.5000).